Computed, not measured: an optimized crystal structure of LuBPb at the GGA-PBE level of DFT.

Unit cell a=4.4502 b=4.4502 c=4.4502 alpha=60.00 beta=60.00 gamma=60.00
Last column: nearest neighbours and their distance in Å.
Element x y z (fractional)
B  0.0000  0.0000  0.0000  4 Pb 2.73, 4 Lu 2.73
Lu  0.2500  0.2500  0.2500  4 B 2.73
Pb  0.7500  0.7500  0.7500  4 B 2.73

Calculated values
* total moment: 0.0 μB per formula unit
* final energy: -13.671 eV for the cell shown
* space-group type: F-43m (216)